(1)
! Ta2TlMo, optimized geometry, DFT PBE; values from VASP
! E   -8.984 eV/atom
! Magnetic moment   0.00 μB per formula unit
! DOS at the Fermi energy   2.63 states/eV/f.u.
! Mass density   14.37 Mg/m³
&SYSTEM
  ibrav = 0, nat = 4, ntyp = 3
/
ATOMIC_SPECIES
Ta 180.95 Ta.upf
Tl 204.38 Tl.upf
Mo 95.94 Mo.upf
CELL_PARAMETERS angstrom
-0.2613 1.1540 2.7494
2.4144 -1.7371 -0.3356
4.9673 7.4142 -2.6398
ATOMIC_POSITIONS crystal
Ta 0.0000 0.0000 0.9747
Ta 0.0000 0.0000 0.5253
Tl 0.5000 0.5000 0.2500
Mo 0.5000 0.5000 0.7500

=====

(2)
! Ta2TlMo, optimized geometry, DFT PBE; values from VASP
! E   -8.947 eV/atom
! Magnetic moment   0.00 μB per formula unit
! DOS at the Fermi energy   2.40 states/eV/f.u.
! Mass density   14.69 Mg/m³
&SYSTEM
  ibrav = 0, nat = 4, ntyp = 3
/
ATOMIC_SPECIES
Ta 180.95 Ta.upf
Tl 204.38 Tl.upf
Mo 95.94 Mo.upf
CELL_PARAMETERS angstrom
-0.3202 -1.4248 3.0929
3.4051 -0.1695 0.2744
0.0730 5.8102 2.6841
ATOMIC_POSITIONS crystal
Ta 0.0000 0.0000 0.9943
Ta 0.5000 0.5000 0.2241
Tl 0.0000 0.0000 0.5062
Mo 0.5000 0.5000 0.7753

=====

(3)
! Ta2TlMo, optimized geometry, DFT PBE; values from VASP
! E   -8.890 eV/atom
! Magnetic moment   0.00 μB per formula unit
! DOS at the Fermi energy   2.28 states/eV/f.u.
! Mass density   14.66 Mg/m³
&SYSTEM
  ibrav = 0, nat = 4, ntyp = 3
/
ATOMIC_SPECIES
Ta 180.95 Ta.upf
Tl 204.38 Tl.upf
Mo 95.94 Mo.upf
CELL_PARAMETERS angstrom
4.5319 0.0000 0.0000
0.0000 2.9139 0.0059
0.0000 1.5059 5.6835
ATOMIC_POSITIONS crystal
Ta 0.0000 0.5317 0.5258
Ta 0.0000 0.9683 0.9742
Tl 0.5000 0.2500 0.2500
Mo 0.5000 0.7500 0.7500

=====

(4)
! Ta2TlMo, optimized geometry, DFT PBE; values from VASP
! E   -8.762 eV/atom
! Magnetic moment   0.00 μB per formula unit
! DOS at the Fermi energy   3.39 states/eV/f.u.
! Mass density   14.57 Mg/m³
&SYSTEM
  ibrav = 0, nat = 4, ntyp = 3
/
ATOMIC_SPECIES
Tl 204.38 Tl.upf
Ta 180.95 Ta.upf
Mo 95.94 Mo.upf
CELL_PARAMETERS angstrom
-2.8298 -0.4481 -0.4729
0.2374 -3.7893 2.1699
-1.2942 2.8223 5.0700
ATOMIC_POSITIONS crystal
Tl 0.0000 0.0000 0.5017
Ta 0.5000 0.5000 0.2336
Ta 0.0000 0.0000 0.9959
Mo 0.5000 0.5000 0.7688